Density functional theory data (PBE) for an optimized crystal structure of Tb3GaOs. Values from VASP.

E = -6.01 eV/atom
Calculated formation energy = -0.38 eV/atom
Volume = 24.28 Å³ per atom

Cell and atoms, written as Quantum ESPRESSO input:
```
&SYSTEM
  ibrav = 0, nat = 10, ntyp = 3
/
ATOMIC_SPECIES
Tb 158.93 Tb.upf
Ga 69.72 Ga.upf
Os 190.23 Os.upf
CELL_PARAMETERS angstrom
5.618 0.131 -1.172
-2.544 5.011 -1.172
-0.052 -0.088 8.565
ATOMIC_POSITIONS angstrom
Tb -0.343 4.059 -0.375
Tb 3.365 0.995 6.596
Tb -0.095 1.029 2.132
Tb 3.117 4.025 4.089
Tb 2.488 2.974 0.960
Tb 0.534 2.079 5.261
Ga 3.379 1.019 3.242
Ga -0.357 4.035 2.979
Os 0.769 1.286 -0.586
Os 2.306 3.856 -1.758
```


Density functional theory data (PBE) for an optimized crystal structure of Tb2GaOs. Values from VASP.

E = -5.62 eV/atom
Calculated formation energy = 0.26 eV/atom
Volume = 25.95 Å³ per atom

Cell and atoms, written as Quantum ESPRESSO input:
```
&SYSTEM
  ibrav = 0, nat = 4, ntyp = 3
/
ATOMIC_SPECIES
Tb 158.93 Tb.upf
Os 190.23 Os.upf
Ga 69.72 Ga.upf
CELL_PARAMETERS angstrom
-0.840 1.695 -2.863
-0.565 -1.725 -2.911
-10.328 -0.836 0.479
ATOMIC_POSITIONS angstrom
Tb -7.349 -0.586 -0.247
Tb -4.384 -0.280 -5.048
Os -5.866 -0.433 -2.647
Ga 0.000 0.000 0.000
```


Density functional theory data (PBE) for an optimized crystal structure of TbGa3Os. Values from VASP.

E = -5.48 eV/atom
Calculated formation energy = -0.49 eV/atom
Volume = 17.83 Å³ per atom
E above lowest polymorph = 0.0 meV per atom

Cell and atoms, written as Quantum ESPRESSO input:
```
&SYSTEM
  ibrav = 0, nat = 15, ntyp = 3
/
ATOMIC_SPECIES
Tb 158.93 Tb.upf
Ga 69.72 Ga.upf
Os 190.23 Os.upf
CELL_PARAMETERS angstrom
-0.720 6.400 0.183
-5.992 -0.738 2.250
2.256 0.081 6.034
ATOMIC_POSITIONS angstrom
Tb -0.360 3.200 0.091
Tb 1.128 0.041 3.017
Tb -2.996 -0.369 1.125
Ga 0.000 0.000 0.000
Ga -3.167 4.082 6.018
Ga -0.641 4.393 5.070
Ga -2.863 1.385 5.941
Ga -4.118 4.048 3.475
Ga -1.592 4.359 2.526
Ga -1.289 1.661 2.449
Ga -3.814 1.350 3.398
Ga -0.338 1.696 4.993
Os -1.868 -0.328 4.142
Os -3.356 2.831 1.217
Os 0.768 3.241 3.109
```


Density functional theory data (PBE) for an optimized crystal structure of Tb8Ga2Os. Values from VASP.

E = -5.21 eV/atom
Calculated formation energy = -0.28 eV/atom
Volume = 26.72 Å³ per atom
E above lowest polymorph = 0.0 meV per atom

Cell and atoms, written as Quantum ESPRESSO input:
```
&SYSTEM
  ibrav = 0, nat = 11, ntyp = 3
/
ATOMIC_SPECIES
Tb 158.93 Tb.upf
Ga 69.72 Ga.upf
Os 190.23 Os.upf
CELL_PARAMETERS angstrom
5.054 0.000 0.000
0.000 6.729 0.273
-2.527 -2.544 8.541
ATOMIC_POSITIONS angstrom
Tb 0.000 1.701 7.158
Tb 2.527 5.665 2.904
Tb 2.527 3.169 5.243
Tb 2.527 -0.972 8.195
Tb 0.000 1.015 3.572
Tb 0.000 -1.480 5.911
Tb 2.527 2.483 1.656
Tb 0.000 5.156 0.620
Ga 2.527 0.221 5.376
Ga 0.000 3.964 3.439
Os 2.527 0.000 0.000
```


Density functional theory data (PBE) for an optimized crystal structure of Tb2GaOs. Values from VASP.

E = -6.26 eV/atom
Calculated formation energy = -0.38 eV/atom
Volume = 21.71 Å³ per atom

Cell and atoms, written as Quantum ESPRESSO input:
```
&SYSTEM
  ibrav = 0, nat = 4, ntyp = 3
/
ATOMIC_SPECIES
Tb 158.93 Tb.upf
Os 190.23 Os.upf
Ga 69.72 Ga.upf
CELL_PARAMETERS angstrom
-1.482 -0.771 3.068
-0.979 -3.110 -1.255
6.127 -2.836 2.246
ATOMIC_POSITIONS angstrom
Tb 4.699 -2.175 1.723
Tb 1.428 -0.661 0.523
Os -1.231 -1.941 0.907
Ga 1.833 -3.358 2.030
```


Density functional theory data (PBE) for an optimized crystal structure of TbGa3Os. Values from VASP.

E = -5.22 eV/atom
Calculated formation energy = -0.23 eV/atom
Volume = 18.38 Å³ per atom
E above lowest polymorph = 252.8 meV per atom

Cell and atoms, written as Quantum ESPRESSO input:
```
&SYSTEM
  ibrav = 0, nat = 20, ntyp = 3
/
ATOMIC_SPECIES
Tb 158.93 Tb.upf
Ga 69.72 Ga.upf
Os 190.23 Os.upf
CELL_PARAMETERS angstrom
-1.319 1.847 -6.175
-6.286 -1.030 -1.644
-2.159 8.421 2.980
ATOMIC_POSITIONS angstrom
Tb -7.131 2.814 -6.031
Tb -2.634 6.425 1.192
Tb -3.194 2.391 -1.984
Tb -6.570 6.848 -2.855
Ga -4.386 3.181 -5.082
Ga -5.379 6.057 0.243
Ga -3.448 7.175 -1.518
Ga -6.316 2.063 -3.321
Ga -1.702 3.608 0.426
Ga -8.790 8.465 -4.261
Ga -8.063 5.630 -5.264
Ga -0.975 0.774 -0.577
Ga -4.695 -0.108 -3.096
Ga -3.991 5.136 -3.233
Ga -2.911 0.925 -4.723
Ga -5.774 4.103 -1.606
Os -0.660 0.924 -3.087
Os -1.739 5.134 -1.597
Os -3.143 -0.515 -0.822
Os -4.223 3.696 0.668
```


Density functional theory data (PBE) for an optimized crystal structure of Tb6Ga2Os. Values from VASP.

E = -5.25 eV/atom
Calculated formation energy = -0.24 eV/atom
Volume = 28.35 Å³ per atom

Cell and atoms, written as Quantum ESPRESSO input:
```
&SYSTEM
  ibrav = 0, nat = 9, ntyp = 3
/
ATOMIC_SPECIES
Tb 158.93 Tb.upf
Ga 69.72 Ga.upf
Os 190.23 Os.upf
CELL_PARAMETERS angstrom
4.961 0.000 -0.189
0.000 7.027 0.000
-2.201 -3.513 7.403
ATOMIC_POSITIONS angstrom
Tb 0.088 1.719 2.325
Tb 2.672 -1.795 4.889
Tb 2.672 1.795 4.889
Tb 2.481 1.656 -0.095
Tb 0.088 5.308 2.325
Tb 2.481 5.370 -0.095
Ga 2.573 3.513 2.351
Ga 0.188 0.000 4.862
Os 0.000 0.000 0.000
```


Density functional theory data (PBE) for an optimized crystal structure of Tb8Ga2Os. Values from VASP.

E = -5.11 eV/atom
Calculated formation energy = -0.17 eV/atom
Volume = 26.23 Å³ per atom
E above lowest polymorph = 105.7 meV per atom

Cell and atoms, written as Quantum ESPRESSO input:
```
&SYSTEM
  ibrav = 0, nat = 11, ntyp = 3
/
ATOMIC_SPECIES
Tb 158.93 Tb.upf
Ga 69.72 Ga.upf
Os 190.23 Os.upf
CELL_PARAMETERS angstrom
4.723 0.000 -1.437
-1.220 7.061 -4.010
0.031 0.103 8.579
ATOMIC_POSITIONS angstrom
Tb 2.022 6.273 -1.832
Tb 0.951 4.129 3.125
Tb 0.440 0.897 1.445
Tb -0.394 2.282 -1.296
Tb 3.094 6.268 1.687
Tb 2.582 3.035 0.007
Tb 1.511 0.891 4.964
Tb 3.928 4.882 4.428
Ga 0.073 4.925 0.241
Ga 3.460 2.239 2.890
Os 2.361 0.000 -0.719
```